! Hf2TcBi PBE relaxed; values from VASP
&SYSTEM
  ibrav = 0, nat = 12, ntyp = 3
/
ATOMIC_SPECIES
Hf 178.49 Hf.upf
Tc 98.00 Tc.upf
Bi 208.98 Bi.upf
CELL_PARAMETERS angstrom
3.365 0.000 0.000
-1.683 2.914 0.000
0.000 0.000 26.673
ATOMIC_POSITIONS angstrom
Hf 0.000 0.000 6.335
Hf 0.000 0.000 20.338
Hf 0.000 1.943 11.447
Hf 0.000 1.943 24.117
Hf 1.683 0.971 2.556
Hf 1.683 0.971 15.226
Tc 0.000 0.000 13.336
Tc 0.000 1.943 4.445
Tc 1.683 0.971 22.227
Bi 0.000 0.000 0.000
Bi 0.000 1.943 17.782
Bi 1.683 0.971 8.891
! **Crystal system**: trigonal
! **Total energy**: -103.12 eV/cell
! **Formation energy from the elements**: -0.055 eV/atom
! **Magnetization**: 0.0 μB/f.u.